# CoReP2O | Alexandria via LeMat-Bulk | PBE with a Hubbard U | optimized geometry
# total moment: 2.2 μB per formula unit
# electronic total energy: -30.2 eV/f.u.
# energy relative to the lowest polymorph listed for this composition: 0.0641 eV/atom
data_CoReP2O
_symmetry_space_group_name_H-M 'P 4/m m m'
_symmetry_Int_Tables_number 123
_symmetry_space_group_name_Hall '-P 4 2'
_cell_length_a 4.520
_cell_length_b 4.520
_cell_length_c 3.299
_cell_angle_alpha 90.00
_cell_angle_beta 90.00
_cell_angle_gamma 90.00
loop_
_atom_site_label
_atom_site_type_symbol
_atom_site_fract_x
_atom_site_fract_y
_atom_site_fract_z
Co1 Co 0.000 0.000 0.000
Re1 Re 0.500 0.500 0.500
P1 P 0.000 0.500 0.000
O1 O 0.000 0.000 0.500